# CeTmNi2H8 | the Alexandria database | GGA-PBE | optimized geometry
# DOS(E_F) (states/eV/cell): 16.33
# ρ (g/cm3): 6.9
# DFT total energy (eV/f.u.): -52.77
# Crystal system: trigonal
# Total magnetization (μB per atom): 0.000
data_CeTmNi2H8
_chemical_formula_sum 'Ce3 Tm3 Ni6 H24'
_cell_length_a 4.3373
_cell_length_b 4.3373
_cell_length_c 19.2933
_cell_angle_alpha 90.00
_cell_angle_beta 90.00
_cell_angle_gamma 120.00
_symmetry_space_group_name_H-M 'R -3 m'
_symmetry_Int_Tables_number 166
_symmetry_space_group_name_Hall '-R 3 2"'
loop_
_atom_site_label
_atom_site_fract_x
_atom_site_fract_y
_atom_site_fract_z
Ce1 0.0000 0.0000 0.0000
Tm1 0.0000 0.0000 0.5000
Ni1 0.0000 0.0000 0.2559
H1 0.0000 0.0000 0.3394
H2 0.0435 0.5217 0.5559

=====

# CoCu3 | the Alexandria database | GGA-PBE | optimized geometry
# DOS(E_F) (states/eV/cell): 7.21
# ρ (g/cm3): 8.9
# Crystal system: orthorhombic
# Total magnetization (μB per atom): 0.342
# E_form (meV/atom): 119
data_CoCu3
_chemical_formula_sum 'Co2 Cu6'
_cell_length_a 5.103
_cell_length_b 7.371
_cell_length_c 2.480
_cell_angle_alpha 90.00
_cell_angle_beta 90.00
_cell_angle_gamma 90.00
_symmetry_space_group_name_H-M 'C m m m'
_symmetry_Int_Tables_number 65
_symmetry_space_group_name_Hall '-C 2 2'
loop_
_atom_site_label
_atom_site_fract_x
_atom_site_fract_y
_atom_site_fract_z
Co1 0.000 0.000 0.000
Cu1 0.000 0.500 0.000
Cu2 0.250 0.250 0.500